1.
A geometry-optimized CeScCo structure. Source: Alexandria, functional PBE-GGA.

As for the space group: No. 216.

a = 4.541 Å, b = 4.541 Å, c = 4.541 Å
α = 60.00°, β = 60.00°, γ = 60.00°
Element x y z (fractional)
Sc 0.000 0.000 0.000
Co 0.250 0.250 0.250
Ce 0.500 0.500 0.500



2.
A geometry-optimized Na6AgHg structure. Source: Alexandria, functional PBE-GGA.

As for the space group: No. 2.

a = 8.626 Å, b = 8.626 Å, c = 6.119 Å
α = 44.71°, β = 44.71°, γ = 60.66°
Element x y z (fractional)
Na 0.000 0.500 0.747
Na 0.753 0.000 0.748
Na 0.498 0.247 0.254
Na 0.247 0.000 0.252
Na 0.000 0.500 0.253
Na 0.502 0.753 0.746
Ag 0.000 0.000 0.000
Hg 0.500 0.500 0.500



Number 1: DFT formation energy -0.1 eV per formula unit, total moment 0.100 μB/atom. Number 2: DFT formation energy -0.4 eV per formula unit, total moment 0.000 μB/atom.